# 1
First-principles (PBE) data for an optimized crystal structure of La6HgI8, as listed in Alexandria via LeMat-Bulk.

Properties
Its raw formation energy is -27.47 kcal/mol of atoms. The calculation puts the total magnetization at 0.000 μB/atom. For the total energy, the calculation gives -60.1 eV per formula unit. The density of states at the Fermi level is 0.4255 states/eV/atom. Its space group is R-3, No. 148. Its volume is 41.2 A^3/atom.

Cell: 12.569 12.569 12.569 Å, 36.14 36.14 36.14°
Atoms (fractional coordinates):
1 La 0.053 0.377 0.728
2 La 0.272 0.947 0.623
3 La 0.377 0.728 0.053
4 La 0.623 0.272 0.947
5 La 0.728 0.053 0.377
6 La 0.947 0.623 0.272
7 Hg 0.000 0.000 0.000
8 I 0.110 0.774 0.446
9 I 0.226 0.554 0.890
10 I 0.333 0.333 0.333
11 I 0.446 0.110 0.774
12 I 0.554 0.890 0.226
13 I 0.667 0.667 0.667
14 I 0.774 0.446 0.110
15 I 0.890 0.226 0.554

# 2
First-principles (PBE) data for an optimized crystal structure of La2HgI, as listed in Alexandria via LeMat-Bulk.

Properties
Its raw formation energy is -16.16 kcal/mol of atoms. The calculation puts the total magnetization at 0.000 μB/atom. For the total energy, the calculation gives -14.5 eV per formula unit. The density of states at the Fermi level is 1.1160 states/eV/atom. Its space group is P6_3/mmc, No. 194. Its distance to the lowest polymorph of the same formula is 13 meV/atom. Its volume is 34.6 A^3/atom.

Cell: 4.363 4.363 16.782 Å, 90.00 90.00 120.00°
Atoms (fractional coordinates):
1 La 0.333 0.667 0.117
2 La 0.333 0.667 0.383
3 La 0.667 0.333 0.617
4 La 0.667 0.333 0.883
5 Hg 0.000 0.000 0.000
6 Hg 0.000 0.000 0.500
7 I 0.333 0.667 0.750
8 I 0.667 0.333 0.250

# 3
First-principles (PBE) data for an optimized crystal structure of La2HgI, as listed in Alexandria via LeMat-Bulk.

Properties
Its raw formation energy is -16.47 kcal/mol of atoms. The calculation puts the total magnetization at 0.000 μB/atom. For the total energy, the calculation gives -14.6 eV per formula unit. The density of states at the Fermi level is 1.1856 states/eV/atom. Its space group is C2/m, No. 12. Its distance to the lowest polymorph of the same formula is 0 meV/atom. Its volume is 34.4 A^3/atom.

Cell: 4.549 4.549 8.101 Å, 106.36 106.36 60.14°
Atoms (fractional coordinates):
1 La 0.245 0.245 0.236
2 La 0.755 0.755 0.764
3 Hg 0.500 0.500 0.000
4 I 0.000 0.000 0.500

# 4
First-principles (PBE) data for an optimized crystal structure of LaHg2I8, as listed in Alexandria via LeMat-Bulk.

Properties
Its raw formation energy is -14.76 kcal/mol of atoms. The calculation puts the total magnetization at 0.091 μB/atom. For the total energy, the calculation gives -25.0 eV per formula unit. The density of states at the Fermi level is 0.1133 states/eV/atom. Its space group is C2/m, No. 12. Its volume is 53.5 A^3/atom.

Cell: 8.966 8.966 7.467 Å, 97.82 97.82 91.11°
Atoms (fractional coordinates):
1 La 0.000 0.000 0.000
2 Hg 0.216 0.216 0.679
3 Hg 0.784 0.784 0.321
4 I 0.071 0.718 0.214
5 I 0.223 0.223 0.294
6 I 0.282 0.929 0.786
7 I 0.447 0.447 0.786
8 I 0.553 0.553 0.214
9 I 0.718 0.071 0.214
10 I 0.777 0.777 0.706
11 I 0.929 0.282 0.786

# 5
First-principles (PBE) data for an optimized crystal structure of La3HgI, as listed in Alexandria via LeMat-Bulk.

Properties
Its raw formation energy is -0.53 kcal/mol of atoms. The calculation puts the total magnetization at 0.000 μB/atom. For the total energy, the calculation gives -16.8 eV per formula unit. The density of states at the Fermi level is 2.1491 states/eV/atom. Its space group is Pm-3m, No. 221. Its distance to the lowest polymorph of the same formula is 470 meV/atom. Its volume is 43.5 A^3/atom.

Cell: 6.015 6.015 6.015 Å, 90.00 90.00 90.00°
Atoms (fractional coordinates):
1 La 0.000 0.000 0.500
2 La 0.000 0.500 0.000
3 La 0.500 0.000 0.000
4 Hg 0.000 0.000 0.000
5 I 0.500 0.500 0.500

# 6
First-principles (PBE) data for an optimized crystal structure of La2HgI, as listed in Alexandria via LeMat-Bulk.

Properties
Its raw formation energy is -14.08 kcal/mol of atoms. The calculation puts the total magnetization at 0.000 μB/atom. For the total energy, the calculation gives -14.1 eV per formula unit. The density of states at the Fermi level is 1.2653 states/eV/atom. Its space group is Fm-3m, No. 225. Its distance to the lowest polymorph of the same formula is 104 meV/atom. Its volume is 30.9 A^3/atom.

Cell: 5.588 5.588 5.588 Å, 60.00 60.00 60.00°
Atoms (fractional coordinates):
1 La 0.250 0.250 0.250
2 La 0.750 0.750 0.750
3 Hg 0.000 0.000 0.000
4 I 0.500 0.500 0.500